No. 1
RbTlIn3: PBEsol geometry, meta-GGA SCAN.

Cell: 6.078 6.078 6.078 Å, 90.00 90.00 90.00°
Fractional positions:
1 Rb 0.000 0.000 0.000
2 Tl 0.500 0.500 0.500
3 In 0.000 0.000 0.500
4 In 0.000 0.500 0.000
5 In 0.500 0.000 0.000

- E_tot: -37.714 eV/atom
- Spin magnetization: 0.00 μB per formula unit
- Crystal system: cubic
- Calculated formation energy: 4.7 eV per formula unit
- DOS at the Fermi energy: 6.296 states/eV/cell

***

No. 2
RbTl2In: PBEsol geometry, meta-GGA SCAN.

Cell: 5.537 5.537 5.537 Å, 60.00 60.00 60.00°
Fractional positions:
1 Rb 0.000 0.000 0.000
2 Tl 0.250 0.250 0.250
3 Tl 0.750 0.750 0.750
4 In 0.500 0.500 0.500

- E_tot: -49.788 eV/atom
- Spin magnetization: 0.00 μB per formula unit
- Crystal system: cubic
- Calculated formation energy: -0.3 eV per formula unit
- DOS at the Fermi energy: 1.445 states/eV/cell

***

No. 3
RbTl3In: PBEsol geometry, meta-GGA SCAN.

Cell: 5.805 5.805 5.805 Å, 90.00 90.00 90.00°
Fractional positions:
1 Rb 0.000 0.000 0.000
2 Tl 0.000 0.500 0.500
3 Tl 0.500 0.000 0.500
4 Tl 0.500 0.500 0.000
5 In 0.500 0.500 0.500

- E_tot: -54.164 eV/atom
- Spin magnetization: 0.00 μB per formula unit
- Crystal system: cubic
- Calculated formation energy: 0.4 eV per formula unit
- DOS at the Fermi energy: 2.865 states/eV/cell